Model w:
The following is a PBE calculation of an optimized crystal structure of ThAl4Cu4, from Alexandria.

Structure (CIF):
```
data_ThAl4Cu4
_chemical_formula_sum 'Th2 Al8 Cu8'
_space_group_name_H-M_alt 'P 1'
_space_group_IT_number 1
_cell_length_a 5.9203
_cell_length_b 5.9203
_cell_length_c 8.4173
_cell_angle_alpha 90.00
_cell_angle_beta 90.00
_cell_angle_gamma 90.00
loop_
_space_group_symop_operation_xyz
'x,y,z'
loop_
_atom_site_label
_atom_site_fract_x
_atom_site_fract_y
_atom_site_fract_z
_atom_site_occupancy
Th1 0.0000 0.0000 0.0000 1
Th2 0.5000 0.5000 0.5000 1
Al1 0.2327 0.5000 0.8933 1
Al2 0.7673 0.5000 0.8933 1
Al3 0.5000 0.7673 0.1067 1
Al4 0.5000 0.2327 0.1067 1
Al5 0.0000 0.7327 0.3933 1
Al6 0.0000 0.2673 0.3933 1
Al7 0.2673 0.0000 0.6067 1
Al8 0.7327 0.0000 0.6067 1
Cu1 0.5000 0.7942 0.8118 1
Cu2 0.5000 0.2058 0.8118 1
Cu3 0.7942 0.5000 0.1882 1
Cu4 0.2058 0.5000 0.1882 1
Cu5 0.2942 0.0000 0.3118 1
Cu6 0.7058 0.0000 0.3118 1
Cu7 0.0000 0.2942 0.6882 1
Cu8 0.0000 0.7058 0.6882 1
```

## Properties
The space-group type is P4_2/nmc, No. 137. The crystal system is tetragonal. The density of states at the Fermi level is 1.6 states/eV/f.u.

***

Model x:
The following is a PBE calculation of an optimized crystal structure of ThAl4Cu4, from Alexandria.

Structure (CIF):
```
data_ThAl4Cu4
_chemical_formula_sum 'Th2 Al8 Cu8'
_space_group_name_H-M_alt 'P 1'
_space_group_IT_number 1
_cell_length_a 4.4786
_cell_length_b 8.3199
_cell_length_c 8.3199
_cell_angle_alpha 90.00
_cell_angle_beta 90.00
_cell_angle_gamma 90.00
loop_
_space_group_symop_operation_xyz
'x,y,z'
loop_
_atom_site_label
_atom_site_fract_x
_atom_site_fract_y
_atom_site_fract_z
_atom_site_occupancy
Th1 0.0000 0.0000 0.0000 1
Th2 0.5000 0.5000 0.5000 1
Al1 0.5004 0.3877 0.8907 1
Al2 0.0004 0.6093 0.8877 1
Al3 0.5004 0.6123 0.1093 1
Al4 0.9996 0.1123 0.6093 1
Al5 0.4996 0.8907 0.6123 1
Al6 0.9996 0.8877 0.3907 1
Al7 0.0004 0.3907 0.1123 1
Al8 0.4996 0.1093 0.3877 1
Cu1 0.4998 0.8264 0.2950 1
Cu2 0.4998 0.1736 0.7050 1
Cu3 0.9998 0.7950 0.6736 1
Cu4 0.0002 0.3264 0.7950 1
Cu5 0.0002 0.6736 0.2050 1
Cu6 0.5002 0.2950 0.1736 1
Cu7 0.5002 0.7050 0.8264 1
Cu8 0.9998 0.2050 0.3264 1
```

## Properties
The space-group type is I4/m, No. 87. The crystal system is tetragonal. The density of states at the Fermi level is 3.8 states/eV/f.u.

***

Verdict on stability: model x comes out at the bottom.

***

Model w:
The following is a PBE calculation of an optimized crystal structure of Ti2Al2Cu, from Alexandria.

Structure (CIF):
```
data_Ti2Al2Cu
_chemical_formula_sum 'Ti4 Al4 Cu2'
_space_group_name_H-M_alt 'P 1'
_space_group_IT_number 1
_cell_length_a 7.6770
_cell_length_b 7.6770
_cell_length_c 2.9166
_cell_angle_alpha 90.00
_cell_angle_beta 90.00
_cell_angle_gamma 90.00
loop_
_space_group_symop_operation_xyz
'x,y,z'
loop_
_atom_site_label
_atom_site_fract_x
_atom_site_fract_y
_atom_site_fract_z
_atom_site_occupancy
Al1 0.1824 0.6824 0.5000 1
Al2 0.6824 0.8176 0.5000 1
Al3 0.8176 0.3176 0.5000 1
Al4 0.3176 0.1824 0.5000 1
Cu1 0.0000 0.0000 0.0000 1
Cu2 0.5000 0.5000 0.0000 1
Ti1 0.3815 0.8815 0.0000 1
Ti2 0.8815 0.6185 0.0000 1
Ti3 0.6185 0.1185 0.0000 1
Ti4 0.1185 0.3815 0.0000 1
```

## Properties
The space-group type is P4/mbm, No. 127. The crystal system is tetragonal. The density of states at the Fermi level is 4.4 states/eV/f.u.

***

Model x:
The following is a PBE calculation of an optimized crystal structure of Ti2Al2Cu, from Alexandria.

Structure (CIF):
```
data_Ti2Al2Cu
_chemical_formula_sum 'Ti2 Al2 Cu1'
_space_group_name_H-M_alt 'P 1'
_space_group_IT_number 1
_cell_length_a 3.6421
_cell_length_b 3.6421
_cell_length_c 6.9792
_cell_angle_alpha 74.88
_cell_angle_beta 74.88
_cell_angle_gamma 90.00
loop_
_space_group_symop_operation_xyz
'x,y,z'
loop_
_atom_site_label
_atom_site_fract_x
_atom_site_fract_y
_atom_site_fract_z
_atom_site_occupancy
Al1 0.7500 0.2500 0.5000 1
Al2 0.2500 0.7500 0.5000 1
Cu1 0.0000 0.0000 0.0000 1
Ti1 0.4153 0.4153 0.1694 1
Ti2 0.5847 0.5847 0.8306 1
```

## Properties
The space-group type is I4/mmm, No. 139. The crystal system is tetragonal. The density of states at the Fermi level is 7.0 states/eV/f.u.

***

Model y:
The following is a PBE calculation of an optimized crystal structure of Ti2Al2Cu, from Alexandria.

Structure (CIF):
```
data_Ti2Al2Cu
_chemical_formula_sum 'Ti4 Al4 Cu2'
_space_group_name_H-M_alt 'P 1'
_space_group_IT_number 1
_cell_length_a 6.2552
_cell_length_b 6.2552
_cell_length_c 4.0814
_cell_angle_alpha 90.00
_cell_angle_beta 90.00
_cell_angle_gamma 90.00
loop_
_space_group_symop_operation_xyz
'x,y,z'
loop_
_atom_site_label
_atom_site_fract_x
_atom_site_fract_y
_atom_site_fract_z
_atom_site_occupancy
Al1 0.3565 0.8565 0.0000 1
Al2 0.8565 0.6435 0.0000 1
Al3 0.6435 0.1435 0.0000 1
Al4 0.1435 0.3565 0.0000 1
Cu1 0.0000 0.0000 0.0000 1
Cu2 0.5000 0.5000 0.0000 1
Ti1 0.1600 0.6600 0.5000 1
Ti2 0.6600 0.8400 0.5000 1
Ti3 0.8400 0.3400 0.5000 1
Ti4 0.3400 0.1600 0.5000 1
```

## Properties
The space-group type is P4/mbm, No. 127. The crystal system is tetragonal. The density of states at the Fermi level is 2.3 states/eV/f.u.

***

Verdict on stability: model x comes out at the bottom.

***

Model w:
The following is a PBE calculation of an optimized crystal structure of Ti2AlCu2, from Alexandria.

Structure (CIF):
```
data_Ti2AlCu2
_chemical_formula_sum 'Ti2 Al1 Cu2'
_space_group_name_H-M_alt 'P 1'
_space_group_IT_number 1
_cell_length_a 2.7533
_cell_length_b 2.7825
_cell_length_c 9.9478
_cell_angle_alpha 81.96
_cell_angle_beta 90.00
_cell_angle_gamma 90.00
loop_
_space_group_symop_operation_xyz
'x,y,z'
loop_
_atom_site_label
_atom_site_fract_x
_atom_site_fract_y
_atom_site_fract_z
_atom_site_occupancy
Ti1 0.5000 0.3975 0.2049 1
Ti2 0.5000 0.6025 0.7951 1
Al1 0.0000 0.0000 0.0000 1
Cu1 0.0000 0.1976 0.6047 1
Cu2 0.0000 0.8024 0.3953 1
```

## Properties
The space-group type is Cmmm, No. 65. The crystal system is orthorhombic. The density of states at the Fermi level is 4.1 states/eV/f.u.

***

Model x:
The following is a PBE calculation of an optimized crystal structure of Ti2AlCu2, from Alexandria.

Structure (CIF):
```
data_Ti2AlCu2
_chemical_formula_sum 'Ti4 Al2 Cu4'
_space_group_name_H-M_alt 'P 1'
_space_group_IT_number 1
_cell_length_a 6.7773
_cell_length_b 6.7773
_cell_length_c 3.2418
_cell_angle_alpha 90.00
_cell_angle_beta 90.00
_cell_angle_gamma 90.00
loop_
_space_group_symop_operation_xyz
'x,y,z'
loop_
_atom_site_label
_atom_site_fract_x
_atom_site_fract_y
_atom_site_fract_z
_atom_site_occupancy
Al1 0.0000 0.0000 0.0000 1
Al2 0.5000 0.5000 0.0000 1
Cu1 0.3729 0.8729 0.0000 1
Cu2 0.8729 0.6271 0.0000 1
Cu3 0.6271 0.1271 0.0000 1
Cu4 0.1271 0.3729 0.0000 1
Ti1 0.1717 0.6717 0.5000 1
Ti2 0.6717 0.8283 0.5000 1
Ti3 0.8283 0.3283 0.5000 1
Ti4 0.3283 0.1717 0.5000 1
```

## Properties
The space-group type is P4/mbm, No. 127. The crystal system is tetragonal. The density of states at the Fermi level is 3.0 states/eV/f.u.

***

Model y:
The following is a PBE calculation of an optimized crystal structure of Ti2AlCu2, from Alexandria.

Structure (CIF):
```
data_Ti2AlCu2
_chemical_formula_sum 'Ti2 Al1 Cu2'
_space_group_name_H-M_alt 'P 1'
_space_group_IT_number 1
_cell_length_a 3.1698
_cell_length_b 3.1698
_cell_length_c 8.3299
_cell_angle_alpha 79.03
_cell_angle_beta 79.03
_cell_angle_gamma 90.00
loop_
_space_group_symop_operation_xyz
'x,y,z'
loop_
_atom_site_label
_atom_site_fract_x
_atom_site_fract_y
_atom_site_fract_z
_atom_site_occupancy
Al1 0.0000 0.0000 0.0000 1
Cu1 0.7500 0.2500 0.5000 1
Cu2 0.2500 0.7500 0.5000 1
Ti1 0.3899 0.3899 0.2203 1
Ti2 0.6101 0.6101 0.7797 1
```

## Properties
The space-group type is I4/mmm, No. 139. The crystal system is tetragonal. The density of states at the Fermi level is 4.7 states/eV/f.u.

***

Verdict on stability: model y comes out at the bottom.

***

Model w:
The following is a PBE calculation of an optimized crystal structure of TiAlCu3, from Alexandria.

Structure (CIF):
```
data_TiAlCu3
_chemical_formula_sum 'Ti1 Al1 Cu3'
_space_group_name_H-M_alt 'P 1'
_space_group_IT_number 1
_cell_length_a 4.6328
_cell_length_b 4.6328
_cell_length_c 4.6328
_cell_angle_alpha 90.00
_cell_angle_beta 90.00
_cell_angle_gamma 90.00
loop_
_space_group_symop_operation_xyz
'x,y,z'
loop_
_atom_site_label
_atom_site_fract_x
_atom_site_fract_y
_atom_site_fract_z
_atom_site_occupancy
Al1 0.5000 0.5000 0.5000 1
Cu1 0.0000 0.5000 0.0000 1
Cu2 0.0000 0.0000 0.5000 1
Cu3 0.5000 0.0000 0.0000 1
Ti1 0.0000 0.0000 0.0000 1
```

## Properties
The space-group type is Pm-3m, No. 221. The crystal system is cubic. The density of states at the Fermi level is 4.6 states/eV/f.u.

***

Model x:
The following is a PBE calculation of an optimized crystal structure of TiAlCu3, from Alexandria.

Structure (CIF):
```
data_TiAlCu3
_chemical_formula_sum 'Ti1 Al1 Cu3'
_space_group_name_H-M_alt 'P 1'
_space_group_IT_number 1
_cell_length_a 4.3616
_cell_length_b 4.3616
_cell_length_c 4.3616
_cell_angle_alpha 90.00
_cell_angle_beta 90.00
_cell_angle_gamma 90.00
loop_
_space_group_symop_operation_xyz
'x,y,z'
loop_
_atom_site_label
_atom_site_fract_x
_atom_site_fract_y
_atom_site_fract_z
_atom_site_occupancy
Al1 0.0000 0.0000 0.0000 1
Cu1 0.0000 0.5000 0.0000 1
Cu2 0.0000 0.0000 0.5000 1
Cu3 0.5000 0.0000 0.0000 1
Ti1 0.5000 0.5000 0.5000 1
```

## Properties
The space-group type is Pm-3m, No. 221. The crystal system is cubic. The density of states at the Fermi level is 7.8 states/eV/f.u.

***

Verdict on stability: model w comes out at the bottom.

***

Model w:
The following is a PBE calculation of an optimized crystal structure of Ti5Al4Cu, from Alexandria.

Structure (CIF):
```
data_Ti5Al4Cu
_chemical_formula_sum 'Ti5 Al4 Cu1'
_space_group_name_H-M_alt 'P 1'
_space_group_IT_number 1
_cell_length_a 4.5091
_cell_length_b 6.6341
_cell_length_c 6.6341
_cell_angle_alpha 83.37
_cell_angle_beta 70.13
_cell_angle_gamma 70.13
loop_
_space_group_symop_operation_xyz
'x,y,z'
loop_
_atom_site_label
_atom_site_fract_x
_atom_site_fract_y
_atom_site_fract_z
_atom_site_occupancy
Ti1 0.7805 0.3774 0.0000 1
Ti2 0.1579 0.0000 0.6226 1
Ti3 0.7805 0.0000 0.3774 1
Ti4 0.1580 0.6226 0.0000 1
Ti5 0.6047 0.0000 0.0000 1
Al1 0.4771 0.3153 0.6847 1
Al2 0.7924 0.6847 0.6847 1
Al3 0.1618 0.3153 0.3153 1
Al4 0.4771 0.6847 0.3153 1
Cu1 0.1203 0.0000 0.0000 1
```

## Properties
The space-group type is I4mm, No. 107. The crystal system is tetragonal. The density of states at the Fermi level is 10.9 states/eV/f.u.

***

Model x:
The following is a PBE calculation of an optimized crystal structure of Ti5Al4Cu, from Alexandria.

Structure (CIF):
```
data_Ti5Al4Cu
_chemical_formula_sum 'Ti5 Al4 Cu1'
_space_group_name_H-M_alt 'P 1'
_space_group_IT_number 1
_cell_length_a 2.8192
_cell_length_b 2.8192
_cell_length_c 19.9375
_cell_angle_alpha 90.00
_cell_angle_beta 90.00
_cell_angle_gamma 90.00
loop_
_space_group_symop_operation_xyz
'x,y,z'
loop_
_atom_site_label
_atom_site_fract_x
_atom_site_fract_y
_atom_site_fract_z
_atom_site_occupancy
Ti1 0.5000 0.5000 0.0929 1
Ti2 0.5000 0.5000 0.2948 1
Ti3 0.5000 0.5000 0.5000 1
Ti4 0.5000 0.5000 0.7052 1
Ti5 0.5000 0.5000 0.9071 1
Al1 0.0000 0.0000 0.1926 1
Al2 0.0000 0.0000 0.3973 1
Al3 0.0000 0.0000 0.6027 1
Al4 0.0000 0.0000 0.8074 1
Cu1 0.0000 0.0000 0.0000 1
```

## Properties
The space-group type is P4/mmm, No. 123. The crystal system is tetragonal. The density of states at the Fermi level is 10.1 states/eV/f.u.

***

Verdict on stability: model w comes out at the bottom.